Entry 1:
This record from the Alexandria database describes crystalline CeEuGe at its relaxed geometry. The functional is PBE.

The structure in POSCAR format:
```
CeEuGe
1.0
-3.6759 -1.1106 0.1165
1.2071 -3.6878 2.9292
-1.2401 4.3028 1.8934
Ce Eu Ge
1 1 1
Direct
0.3039 0.6667 0.3333
0.6875 0.3333 0.6667
0.0086 0.0000 0.0000
```

Calculated values
Space group: P3m1 (156)
Total moment (μB per formula unit): 8.04
DFT formation energy (kJ/mol of atoms): -28.9

Entry 2:
This record from the Alexandria database describes crystalline TcRh2Se at its relaxed geometry. The functional is PBE.

The structure in POSCAR format:
```
TcRh2Se
1.0
-2.1288 1.4336 -4.0822
-4.6847 -1.1424 0.0141
2.8221 2.2665 3.1860
Tc Rh Se
1 2 1
Direct
0.7500 0.2500 0.5000
0.5000 0.5000 0.0000
0.0000 0.0000 0.0000
0.2500 0.7500 0.5000
```

Calculated values
Space group: I4/mmm (139)
VASP energy (eV/cell): -27.6
Total moment (μB per formula unit): 0.00

- Which value of total moment does entry 1 give?
  8.04 μB per formula unit